[1]
## Ho4SeS2N (PBE-GGA)

Data for a relaxed structure of Ho4SeS2N.

Values from the calculation:
* N(E_F): 2.35 states/eV/cell
* DFT total energy: -6.59 eV per atom
* magnetization: 0.0 Bohr magnetons per cell
* SG: P2/m, No. 10

a = 3.7744 Å, b = 6.7982 Å, c = 6.5900 Å
α = 108.82°, β = 90.00°, γ = 90.00°
Sites, in units of the cell vectors:
1 Ho 0.0000 0.7873 0.2385
2 N 0.0000 0.0000 0.0000
3 S 0.5000 0.0000 0.5000
4 Ho 0.5000 0.7892 0.7792
5 Se 0.5000 0.5000 0.0000
6 Ho 0.0000 0.2127 0.7615
7 S 0.0000 0.5000 0.5000
8 Ho 0.5000 0.2108 0.2208

***

[2]
## K4Tm3OsO8 (PBE-GGA)

Data for a relaxed structure of K4Tm3OsO8.

Values from the calculation:
* N(E_F): 7.50 states/eV/cell
* DFT total energy: -6.56 eV per atom
* magnetization: 1.0 Bohr magnetons per cell
* SG: R-3m, No. 166

a = 6.6923 Å, b = 7.3041 Å, c = 6.6925 Å
α = 117.28°, β = 120.00°, γ = 90.00°
Sites, in units of the cell vectors:
1 O 0.7281 0.6842 0.4561
2 O 0.7761 0.3151 0.5522
3 Tm 0.5000 0.5000 0.0000
4 O 0.2719 0.3158 0.5439
5 Tm 0.0000 0.5000 0.5000
6 O 0.2628 0.3151 0.0389
7 K 0.5000 0.0000 0.0000
8 Os 0.0000 0.5000 0.0000
9 K 0.0000 0.0000 0.5000
10 K 0.0000 0.0000 0.0000
11 Tm 0.5000 0.5000 0.5000
12 O 0.2239 0.6849 0.9611
13 O 0.2239 0.6849 0.4478
14 O 0.7372 0.6849 0.9611
15 O 0.7761 0.3151 0.0389
16 K 0.5000 0.0000 0.5000

***

[3]
## Ba2Sr2Sn (PBE-GGA)

Data for a relaxed structure of Ba2Sr2Sn.

Values from the calculation:
* N(E_F): 9.54 states/eV/cell
* DFT total energy: -2.37 eV per atom
* magnetization: 0.3 Bohr magnetons per cell
* SG: P4/mbm, No. 127

a = 8.8676 Å, b = 8.8676 Å, c = 6.4532 Å
α = 90.00°, β = 90.00°, γ = 90.00°
Sites, in units of the cell vectors:
1 Ba 0.3291 0.1709 0.5000
2 Sr 0.1554 0.3446 0.0000
3 Sr 0.6554 0.1554 0.0000
4 Ba 0.8291 0.3291 0.5000
5 Sr 0.3446 0.8446 0.0000
6 Sn 0.5000 0.5000 0.0000
7 Sn 0.0000 0.0000 0.0000
8 Sr 0.8446 0.6554 0.0000
9 Ba 0.1709 0.6709 0.5000
10 Ba 0.6709 0.8291 0.5000

***

[4]
## Sr3Tl9Pb2 (PBE-GGA)

Data for a relaxed structure of Sr3Tl9Pb2.

Values from the calculation:
* N(E_F): 6.95 states/eV/cell
* DFT total energy: -2.61 eV per atom
* magnetization: 0.0 Bohr magnetons per cell
* SG: Immm, No. 71

a = 4.9915 Å, b = 10.0063 Å, c = 10.0063 Å
α = 76.02°, β = 75.56°, γ = 75.56°
Sites, in units of the cell vectors:
1 Tl 0.3562 0.0184 0.2692
2 Tl 0.3562 0.2692 0.0184
3 Sr 0.0000 0.0000 0.0000
4 Tl 0.0000 0.5000 0.5000
5 Tl 0.6438 0.9816 0.7308
6 Tl 0.1543 0.1326 0.5589
7 Tl 0.8457 0.4411 0.8674
8 Pb 0.5000 0.3194 0.6806
9 Tl 0.1543 0.5589 0.1326
10 Sr 0.2993 0.7007 0.7007
11 Tl 0.8457 0.8674 0.4411
12 Pb 0.5000 0.6806 0.3194
13 Tl 0.6438 0.7308 0.9816
14 Sr 0.7007 0.2993 0.2993